Computed, not measured: a crystal of Pr2SnHg relaxed with PBEsol at the SCAN level of DFT.

Values from the calculation:
E_form ... -759 meV/atom
Total moment ... 0.00 μB per cell

Cell lengths 7.6228, 7.6228, 7.6228 Å; angles 90.00, 90.00, 90.00 degrees
Space group Fm-3m (No. 225)
Inequivalent atoms, fractional coordinates:
Pr 0.2500 0.2500 0.2500
Sn 0.0000 0.0000 0.0000
Hg 0.0000 0.0000 0.5000


Computed, not measured: a crystal of Pr2TlHg relaxed with PBEsol at the SCAN level of DFT.

Values from the calculation:
E_form ... -656 meV/atom
Total moment ... 3.85 μB per cell

Cell lengths 7.6601, 7.6601, 7.6601 Å; angles 90.00, 90.00, 90.00 degrees
Space group Fm-3m (No. 225)
Inequivalent atoms, fractional coordinates:
Pr 0.2500 0.2500 0.2500
Tl 0.0000 0.0000 0.0000
Hg 0.0000 0.0000 0.5000


Computed, not measured: a crystal of Pr2ZnHg relaxed with PBEsol at the SCAN level of DFT.

Values from the calculation:
E_form ... -512 meV/atom
Total moment ... 3.23 μB per cell

Cell lengths 7.4502, 7.4502, 7.4502 Å; angles 90.00, 90.00, 90.00 degrees
Space group Fm-3m (No. 225)
Inequivalent atoms, fractional coordinates:
Pr 0.2500 0.2500 0.2500
Zn 0.0000 0.0000 0.0000
Hg 0.0000 0.0000 0.5000


| no. | total energy (Ha/atom) |
| --- | --- |
| 1 | -1.780 |
| 2 | -2.111 |
| 3 | -1.565 |